Entry 1:
TaTc2Ag | meta-GGA SCAN | PBEsol geometry

a = 2.7768 Å, b = 2.7768 Å, c = 8.0748 Å
α = 90.00°, β = 90.00°, γ = 90.00°
Closest atoms and distances in Å follow each position.
Space group P4mm (No. 99)
Unique sites:
1 Ta 0.0000 0.0000 0.0000 [1 per cell]  4 Ta 2.78, 4 Tc 2.83, 4 Ag 2.95
2 Tc 0.0000 0.0000 0.4603 [1 per cell]  8 Tc 2.58-2.78
3 Tc 0.5000 0.5000 0.2531 [1 per cell]  8 Tc 2.58-2.78, 4 Ta 2.83
4 Ag 0.5000 0.5000 0.7268 [1 per cell]  4 Ag 2.78, 4 Tc 2.91, 4 Ta 2.95

## Properties
Its density of states at the Fermi level is 3.5 states/eV per cell. The value obtained for the energy above the most stable polymorph in this dataset is 0 meV/atom. The size of the total moment is 0.0 μB/f.u.

Entry 2:
Zn3Cu | meta-GGA SCAN | PBEsol geometry

a = 2.5711 Å, b = 4.1613 Å, c = 4.9490 Å
α = 90.00°, β = 100.32°, γ = 90.00°
Closest atoms and distances in Å follow each position.
Space group P2/m (No. 10)
Unique sites:
1 Zn 0.0000 0.0000 0.0000 [1 per cell]  6 Zn 2.57-2.59, 2 Cu 2.58
2 Zn 0.2623 0.5000 0.7422 [2 per cell]  2 Cu 2.53, 6 Zn 2.53-2.62
3 Cu 0.5000 0.0000 0.5000 [1 per cell]  6 Zn 2.53-2.58, 2 Cu 2.57

## Properties
Its density of states at the Fermi level is 0.6 states/eV per cell. The value obtained for the total energy is -13.96 eV per atom. The size of the total moment is 0.0 μB/f.u.